Entry 1:
DFT (PBE) results for a relaxed structure of Na2CrInSe4.

Formation energy without anion corrections = -0.78 eV/atom

Unit cell a=6.7996 b=3.9122 c=7.2967 alpha=90.00 beta=108.15 gamma=90.00
With the nearest neighbours (Å) after each atom.
Positions (direct):
1 Na 0.0000 0.0000 0.0000  6 Se 2.96-2.97
2 Na 0.5000 0.5000 0.0000  6 Se 3.10-3.11
3 Cr 0.0000 0.5000 0.5000  6 Se 2.60-2.62
4 In 0.5000 0.0000 0.5000  6 Se 2.76-2.78
5 Se 0.2167 0.0000 0.7040  2 Cr 2.62, 1 In 2.78
6 Se 0.2427 0.5000 0.2855  1 Cr 2.60, 2 In 2.76
7 Se 0.7573 0.5000 0.7145  1 Cr 2.60, 2 In 2.76
8 Se 0.7833 0.0000 0.2960  2 Cr 2.62, 1 In 2.78

***

Entry 2:
DFT (PBE) results for a relaxed structure of TaTlZn.

ΔE to the lowest computed polymorph = 0.000 eV/atom

Unit cell a=7.1644 b=7.1644 c=7.1644 alpha=156.26 beta=156.26 gamma=33.82
With the nearest neighbours (Å) after each atom.
Positions (direct):
1 Ta 0.0000 0.0000 0.0000  4 Zn 2.82, 4 Ta 2.95
2 Tl 0.6788 0.6788 0.0000  4 Tl 2.95, 4 Ta 3.22, 4 Zn 3.26
3 Zn 0.3617 0.3617 0.0000  4 Ta 2.82, 4 Zn 2.95

***

Entry 3:
DFT (PBE) results for a relaxed structure of La2ZrMo.

ΔE to the lowest computed polymorph = 0.000 eV/atom

Unit cell a=3.5352 b=3.5352 c=8.5306 alpha=90.00 beta=90.00 gamma=90.00
With the nearest neighbours (Å) after each atom.
Positions (direct):
1 La 0.0000 0.0000 0.0000  4 Zr 3.44, 8 La 3.54-3.78, 1 Mo 3.74
2 La 0.5000 0.5000 0.3321  4 Mo 3.18, 1 Zr 3.34, 4 La 3.54
3 Zr 0.5000 0.5000 0.7237  4 Mo 2.86
4 Mo 0.0000 0.0000 0.5620  4 Zr 2.86, 4 La 3.18

***

The calculation returns the following ρ values, one per record and in order: 4759; 12572; 7242 kg/m³.